[1]
A relaxed structure of CaPrAlAu, computed with GGA-PBE.

DFT total energy = -3.95 eV/atom
formation enthalpy at 0 K = -2.018 eV per formula unit
space-group type = F-43m, No. 216

Unit cell a=5.263 b=5.263 c=5.263 alpha=60.00 beta=60.00 gamma=60.00
Atoms (fractional coordinates):
Ca 0.000 0.000 0.000
Pr 0.500 0.500 0.500
Al 0.750 0.750 0.750
Au 0.250 0.250 0.250

[2]
A relaxed structure of Ca2Al4Pt3Au, computed with GGA-PBE.

DFT total energy = -4.97 eV/atom
formation enthalpy at 0 K = -9.351 eV per formula unit
space-group type = P-4m2, No. 115

Unit cell a=4.429 b=4.429 c=9.957 alpha=90.00 beta=90.00 gamma=90.00
Atoms (fractional coordinates):
Ca 0.000 0.500 0.247
Ca 0.500 0.000 0.753
Al 0.000 0.000 0.500
Al 0.000 0.500 0.873
Al 0.500 0.000 0.127
Al 0.500 0.500 0.500
Pt 0.000 0.000 0.000
Pt 0.000 0.500 0.626
Pt 0.500 0.000 0.374
Au 0.500 0.500 0.000

[3]
A relaxed structure of CaAl3PtAu, computed with GGA-PBE.

DFT total energy = -4.31 eV/atom
formation enthalpy at 0 K = -3.296 eV per formula unit
space-group type = Cmcm, No. 63

Unit cell a=7.176 b=7.176 c=5.736 alpha=90.00 beta=90.00 gamma=126.88
Atoms (fractional coordinates):
Ca 0.217 0.783 0.750
Ca 0.783 0.217 0.250
Al 0.205 0.205 0.000
Al 0.205 0.205 0.500
Al 0.364 0.636 0.250
Al 0.636 0.364 0.750
Al 0.795 0.795 0.000
Al 0.795 0.795 0.500
Pt 0.432 0.568 0.750
Pt 0.568 0.432 0.250
Au 0.159 0.841 0.250
Au 0.841 0.159 0.750

[4]
A relaxed structure of CaAlRh2Au, computed with GGA-PBE.

DFT total energy = -4.28 eV/atom
formation enthalpy at 0 K = 2.316 eV per formula unit
space-group type = P4/mmm, No. 123

Unit cell a=5.072 b=5.072 c=4.579 alpha=90.00 beta=90.00 gamma=90.00
Atoms (fractional coordinates):
Ca 0.000 0.000 0.000
Al 0.500 0.500 0.000
Rh 0.000 0.500 0.500
Rh 0.500 0.000 0.500
Au 0.500 0.500 0.500

Copy entry 4 word for word.
A relaxed structure of CaAlRh2Au, computed with GGA-PBE.

DFT total energy = -4.28 eV/atom
formation enthalpy at 0 K = 2.316 eV per formula unit
space-group type = P4/mmm, No. 123

Unit cell a=5.072 b=5.072 c=4.579 alpha=90.00 beta=90.00 gamma=90.00
Atoms (fractional coordinates):
Ca 0.000 0.000 0.000
Al 0.500 0.500 0.000
Rh 0.000 0.500 0.500
Rh 0.500 0.000 0.500
Au 0.500 0.500 0.500